Mn2InTe, relaxed, DFT PBE-GGA; SG = Pmmm, No. 47; E_tot = -5.72 eV per atom; density = 7.494 g cm⁻³; total moment = 6.9 μB/cell; E_form (uncorrected) = 0.332 eV per atom
1.0
-2.115 -1.708 -3.083
3.298 -3.702 -0.212
-2.074 -1.992 2.526
In Mn Te
1 2 1
Cartesian
0.612 -2.847 1.157
0.000 0.000 0.000
0.592 -2.705 -1.647
-2.094 -1.850 -0.278